# Mg5FeRh6 (PBE-GGA, optimized geometry)
# energy: -5.464 eV per atom
# DFT formation energy: -419 meV per atom
data_Mg5FeRh6
_symmetry_space_group_name_H-M 'P 1'
_symmetry_Int_Tables_number 1
_symmetry_space_group_name_Hall 'P 1'
_cell_length_a 7.572
_cell_length_b 7.572
_cell_length_c 7.572
_cell_angle_alpha 146.56
_cell_angle_beta 131.43
_cell_angle_gamma 60.25
loop_
_atom_site_label
_atom_site_fract_x
_atom_site_fract_y
_atom_site_fract_z
Mg1 0.000 0.000 0.000
Mg2 0.166 0.666 0.500
Mg3 0.330 0.330 0.000
Mg4 0.670 0.670 0.000
Mg5 0.834 0.334 0.500
Fe1 0.500 0.000 0.500
Rh1 0.095 0.838 0.257
Rh2 0.263 0.500 0.763
Rh3 0.418 0.162 0.257
Rh4 0.582 0.838 0.743
Rh5 0.737 0.500 0.237
Rh6 0.905 0.162 0.743